1.
Below is Ca2MgO after structural relaxation, with properties calculated at the GGA-PBE level.

For the formation energy (no corrections), the calculation gives -0.24 eV/atom. Its total energy is -11.53 eV per formula unit. The value obtained for the density of states at the Fermi level is 6.4 states/eV/f.u. The polymorph energy (0 for the lowest one) is 1.0802 eV/atom.

Unit cell a=7.2904 b=7.2904 c=7.2904 alpha=90.00 beta=90.00 gamma=90.00
With the nearest neighbours (Å) after each atom.
Space group Fm-3m (No. 225)
Inequivalent atoms, fractional coordinates:
Ca  0.2500  0.2500  0.2500 [8 per cell]  4 O 3.16, 4 Mg 3.16
Mg  0.0000  0.0000  0.0000 [4 per cell]  8 Ca 3.16
O  0.0000  0.0000  0.5000 [4 per cell]  8 Ca 3.16

2.
Below is CaMgO2 after structural relaxation, with properties calculated at the GGA-PBE level.

For the formation energy (no corrections), the calculation gives -1.81 eV/atom. Its total energy is -20.75 eV per formula unit. The value obtained for the density of states at the Fermi level is 2.4 states/eV/f.u.

Unit cell a=3.3578 b=3.3578 c=18.8025 alpha=90.00 beta=90.00 gamma=120.00
With the nearest neighbours (Å) after each atom.
Space group R-3m (No. 166, hexagonal axes)
Inequivalent atoms, fractional coordinates:
Ca  0.0000  0.0000  0.0000 [3 per cell]  2 O 2.07
Mg  0.0000  0.0000  0.5000 [3 per cell]  6 O 2.21
O  0.0000  0.0000  0.1103 [6 per cell]  1 Ca 2.07, 3 Mg 2.21

3.
Below is CaMg2O after structural relaxation, with properties calculated at the GGA-PBE level.

For the formation energy (no corrections), the calculation gives -1.01 eV/atom. Its total energy is -14.17 eV per formula unit. The value obtained for the density of states at the Fermi level is 2.4 states/eV/f.u.

Unit cell a=6.5270 b=6.5270 c=9.1285 alpha=90.00 beta=90.00 gamma=90.00
With the nearest neighbours (Å) after each atom.
Space group I-42d (No. 122)
Inequivalent atoms, fractional coordinates:
Ca  0.0000  0.0000  0.0000 [4 per cell]  12 Mg 3.79-3.83, 4 O 3.98, 4 Ca 3.98
Mg  0.0009  0.7500  0.6250 [8 per cell]  2 O 1.99
O  0.0000  0.0000  0.5000 [4 per cell]  4 Mg 1.99

4.
Below is CaMgO2 after structural relaxation, with properties calculated at the GGA-PBE level.

For the formation energy (no corrections), the calculation gives -2.55 eV/atom. Its total energy is -23.72 eV per formula unit. The value obtained for the density of states at the Fermi level is 0.0 states/eV/f.u.

Unit cell a=3.1723 b=3.1723 c=16.7409 alpha=90.00 beta=90.00 gamma=120.00
With the nearest neighbours (Å) after each atom.
Space group R3m (No. 160, hexagonal axes)
Inequivalent atoms, fractional coordinates:
Ca  0.0000  0.0000  0.0000 [3 per cell]  6 O 2.34-2.36
Mg  0.0000  0.0000  0.8301 [3 per cell]  6 O 2.23-2.28
O  0.0000  0.0000  0.4204 [3 per cell]  3 Mg 2.23, 3 Ca 2.34
O  0.0000  0.0000  0.5777 [3 per cell]  3 Mg 2.28, 3 Ca 2.36

5.
Below is Ca2MgO after structural relaxation, with properties calculated at the GGA-PBE level.

For the formation energy (no corrections), the calculation gives -1.19 eV/atom. Its total energy is -15.31 eV per formula unit. The value obtained for the density of states at the Fermi level is 2.5 states/eV/f.u. The polymorph energy (0 for the lowest one) is 0.1351 eV/atom.

Unit cell a=3.4478 b=3.4478 c=27.7379 alpha=90.00 beta=90.00 gamma=120.00
With the nearest neighbours (Å) after each atom.
Space group R-3m (No. 166, hexagonal axes)
Inequivalent atoms, fractional coordinates:
Ca  0.0000  0.0000  0.1165 [6 per cell]  3 O 2.43
Mg  0.0000  0.0000  0.0000 [3 per cell]  2 Ca 3.23, 6 Mg 3.45
O  0.0000  0.0000  0.5000 [3 per cell]  6 Ca 2.43

6.
Below is CaMgO2 after structural relaxation, with properties calculated at the GGA-PBE level.

For the formation energy (no corrections), the calculation gives -2.23 eV/atom. Its total energy is -22.45 eV per formula unit. The value obtained for the density of states at the Fermi level is 0.0 states/eV/f.u.

Unit cell a=3.5192 b=3.5192 c=18.1960 alpha=90.00 beta=90.00 gamma=120.00
With the nearest neighbours (Å) after each atom.
Space group R-3m (No. 166, hexagonal axes)
Inequivalent atoms, fractional coordinates:
Ca  0.0000  0.0000  0.0000 [3 per cell]  6 O 2.37
Mg  0.0000  0.0000  0.5000 [3 per cell]  2 O 1.82
O  0.0000  0.0000  0.4000 [6 per cell]  1 Mg 1.82

7.
Below is Ca2MgOsO8 after structural relaxation, with properties calculated at the GGA-PBE level.

For the formation energy (no corrections), the calculation gives -1.72 eV/atom. Its total energy is -77.10 eV per formula unit.

Unit cell a=4.4715 b=5.1876 c=6.4495 alpha=92.64 beta=99.38 gamma=90.76
With the nearest neighbours (Å) after each atom.
Space group P-1 (No. 2)
Inequivalent atoms, fractional coordinates:
Ca  0.0801  0.0165  0.2673 [2 per cell]  6 O 2.30-2.50
Mg  0.5000  0.5000  0.0000 [1 per cell]  4 O 2.06-2.17
Os  0.5000  0.5000  0.5000 [1 per cell]  6 O 1.84-1.95
O  0.2391  0.4388  0.2284 [2 per cell]  1 Os 1.95, 1 Mg 2.06
O  0.2529  0.3144  0.6426 [2 per cell]  1 Os 1.84
O  0.2972  0.7996  0.5547 [2 per cell]  1 Os 1.86
O  0.3747  0.9035  0.0003 [2 per cell]  1 O 1.49

8.
Below is CaMgOsO6 after structural relaxation, with properties calculated at the GGA-PBE level.

For the formation energy (no corrections), the calculation gives -1.76 eV/atom. Its total energy is -60.46 eV per formula unit.

Unit cell a=4.8914 b=4.8914 c=9.5338 alpha=90.00 beta=90.00 gamma=90.00
With the nearest neighbours (Å) after each atom.
Space group P4_2nm (No. 102)
Inequivalent atoms, fractional coordinates:
Ca  0.0000  0.0000  0.0000 [2 per cell]  6 O 2.26-2.36
Mg  0.0000  0.0000  0.3329 [2 per cell]  6 O 2.11-2.16
Os  0.0000  0.0000  0.6670 [2 per cell]  6 O 1.86-1.88
O  0.1746  0.1746  0.5157 [4 per cell]  1 Os 1.88
O  0.1992  0.1992  0.7986 [4 per cell]  1 Os 1.86
O  0.2292  0.2292  0.1795 [4 per cell]  1 Os 1.88

9.
Below is CaMgOs2O8 after structural relaxation, with properties calculated at the GGA-PBE level.

For the formation energy (no corrections), the calculation gives -1.47 eV/atom. Its total energy is -83.40 eV per formula unit.

Unit cell a=5.7956 b=5.7956 c=6.4895 alpha=90.00 beta=90.00 gamma=120.00
With the nearest neighbours (Å) after each atom.
Space group P-3m1 (No. 164)
Inequivalent atoms, fractional coordinates:
Ca  0.0000  0.0000  0.0000 [1 per cell]  6 O 2.45
Mg  0.0000  0.0000  0.5000 [1 per cell]  6 O 2.09
Os  0.3333  0.6667  0.7741 [2 per cell]  4 O 1.79-1.82
O  0.1568  0.3137  0.7112 [6 per cell]  1 Os 1.82
O  0.3333  0.6667  0.0499 [2 per cell]  1 Os 1.79

10.
Below is CaMgPO4 after structural relaxation, with properties calculated at the GGA-PBE level.

For the formation energy (no corrections), the calculation gives -2.29 eV/atom. Its total energy is -44.84 eV per formula unit. The value obtained for the density of states at the Fermi level is 1.4 states/eV/f.u.

Unit cell a=6.0734 b=6.8515 c=8.3712 alpha=90.00 beta=90.00 gamma=90.00
With the nearest neighbours (Å) after each atom.
Space group Imma (No. 74)
Inequivalent atoms, fractional coordinates:
Ca  0.0000  0.0000  0.0000 [4 per cell]  6 O 2.40-2.45
Mg  0.2500  0.2500  0.2500 [4 per cell]  2 O 2.12
P  0.0000  0.2500  0.6142 [4 per cell]  4 O 1.56-1.59
O  0.0000  0.0618  0.7180 [8 per cell]  1 P 1.56
O  0.2105  0.2500  0.5013 [8 per cell]  1 P 1.59

11.
Below is CaMgPO2 after structural relaxation, with properties calculated at the GGA-PBE level.

For the formation energy (no corrections), the calculation gives -0.34 eV/atom. Its total energy is -20.65 eV per formula unit. The value obtained for the density of states at the Fermi level is 3.5 states/eV/f.u. The polymorph energy (0 for the lowest one) is 0.5414 eV/atom.

Unit cell a=4.2692 b=4.2692 c=5.7591 alpha=90.00 beta=90.00 gamma=90.00
With the nearest neighbours (Å) after each atom.
Space group P4/mmm (No. 123)
Inequivalent atoms, fractional coordinates:
Ca  0.0000  0.0000  0.0000 [1 per cell]  4 O 2.13
Mg  0.5000  0.5000  0.5000 [1 per cell]  4 P 3.02
P  0.0000  0.0000  0.5000 [1 per cell]  2 Ca 2.88, 4 Mg 3.02
O  0.0000  0.5000  0.0000 [2 per cell]  2 Ca 2.13

12.
Below is CaMgPO2 after structural relaxation, with properties calculated at the GGA-PBE level.

For the formation energy (no corrections), the calculation gives -0.89 eV/atom. Its total energy is -23.35 eV per formula unit. The value obtained for the density of states at the Fermi level is 3.0 states/eV/f.u. The polymorph energy (0 for the lowest one) is 0.0000 eV/atom.

Unit cell a=4.0646 b=4.0646 c=5.0368 alpha=90.00 beta=90.00 gamma=90.00
With the nearest neighbours (Å) after each atom.
Space group P4/mmm (No. 123)
Inequivalent atoms, fractional coordinates:
Ca  0.0000  0.0000  0.0000 [1 per cell]  4 P 2.87
Mg  0.5000  0.5000  0.5000 [1 per cell]  4 O 2.03
P  0.5000  0.5000  0.0000 [1 per cell]  2 Mg 2.52
O  0.0000  0.5000  0.5000 [2 per cell]  2 Mg 2.03